[1]
The following is a meta-GGA SCAN calculation of a crystal of Li2ReW relaxed with PBEsol, from the Alexandria database.

Cell lengths 4.2700, 4.2700, 4.2700 Å; angles 60.00, 60.00, 60.00 degrees
Positions (direct):
Li 0.0000 0.0000 0.0000
Li 0.2500 0.2500 0.2500
Re 0.5000 0.5000 0.5000
W 0.7500 0.7500 0.7500

Values from the calculation:
**Uncorrected energy**: -35.99 eV per atom
**Symmetry**: F-43m, No. 216
**Excess energy over the best structure of this formula in the dataset**: 0.675 eV per formula unit

---

[2]
The following is a meta-GGA SCAN calculation of a crystal of ScNbCd3 relaxed with PBEsol, from the Alexandria database.

Cell lengths 5.1062, 5.1062, 5.1062 Å; angles 90.00, 90.00, 90.00 degrees
Positions (direct):
Sc 0.0000 0.0000 0.0000
Nb 0.5000 0.5000 0.5000
Cd 0.0000 0.5000 0.0000
Cd 0.0000 0.0000 0.5000
Cd 0.5000 0.0000 0.0000

Values from the calculation:
**Uncorrected energy**: -26.39 eV per atom
**Symmetry**: Pm-3m, No. 221

---

[3]
The following is a meta-GGA SCAN calculation of a crystal of BaAl3Ge relaxed with PBEsol, from the Alexandria database.

Cell lengths 5.6779, 5.6779, 5.6779 Å; angles 90.00, 90.00, 90.00 degrees
Positions (direct):
Ge 0.5000 0.5000 0.5000
Ba 0.0000 0.0000 0.0000
Al 0.0000 0.5000 0.0000
Al 0.0000 0.0000 0.5000
Al 0.5000 0.0000 0.0000

Values from the calculation:
**Uncorrected energy**: -14.60 eV per atom
**Symmetry**: Pm-3m, No. 221

---

[4]
The following is a meta-GGA SCAN calculation of a crystal of TiCuAsO2 relaxed with PBEsol, from the Alexandria database.

Cell lengths 3.7196, 3.7196, 5.2034 Å; angles 90.00, 90.00, 90.00 degrees
Positions (direct):
As 0.0000 0.0000 0.0000
O 0.0000 0.5000 0.0000
O 0.5000 0.0000 0.0000
Cu 0.5000 0.5000 0.5000
Ti 0.0000 0.0000 0.5000

Values from the calculation:
**Uncorrected energy**: -12.65 eV per atom
**Symmetry**: P4/mmm, No. 123

---

[5]
The following is a meta-GGA SCAN calculation of a crystal of SiHg4As relaxed with PBEsol, from the Alexandria database.

Cell lengths 5.7331, 5.7331, 5.7331 Å; angles 60.00, 60.00, 60.00 degrees
Positions (direct):
As 0.0000 0.0000 0.0000
Hg 0.3751 0.3751 0.3751
Hg 0.3751 0.3751 0.8746
Hg 0.8746 0.3751 0.3751
Hg 0.3751 0.8746 0.3751
Si 0.7500 0.7500 0.7500

Values from the calculation:
**Uncorrected energy**: -49.74 eV per atom
**Symmetry**: F-43m, No. 216

---

[6]
The following is a meta-GGA SCAN calculation of a crystal of BeMoAs2 relaxed with PBEsol, from the Alexandria database.

Cell lengths 4.1042, 4.4872, 4.1042 Å; angles 62.79, 90.00, 117.21 degrees
Positions (direct):
Be 0.5000 0.0000 0.5000
Mo 0.0000 0.0000 0.0000
As 0.2500 0.5000 0.2500
As 0.7500 0.5000 0.7500

Values from the calculation:
**Uncorrected energy**: -19.56 eV per atom
**Symmetry**: I4/mmm, No. 139

---

[7]
The following is a meta-GGA SCAN calculation of a crystal of Si2Os relaxed with PBEsol, from the Alexandria database.

Cell lengths 4.7703, 4.7703, 4.7703 Å; angles 60.00, 60.00, 60.00 degrees
Positions (direct):
Os 0.7500 0.7500 0.7500
Os 0.5000 0.5000 0.5000
Si 0.1250 0.1250 0.6250
Si 0.6250 0.1250 0.1250
Si 0.1250 0.1250 0.1250
Si 0.1250 0.6250 0.1250

Values from the calculation:
**Uncorrected energy**: -29.80 eV per atom
**Symmetry**: Fd-3m, No. 227

---

[8]
The following is a meta-GGA SCAN calculation of a crystal of KRb2Na relaxed with PBEsol, from the Alexandria database.

Cell lengths 7.2399, 7.2399, 7.2399 Å; angles 60.00, 60.00, 60.00 degrees
Positions (direct):
Na 0.0000 0.0000 0.0000
K 0.5000 0.5000 0.5000
Rb 0.2500 0.2500 0.2500
Rb 0.7500 0.7500 0.7500

Values from the calculation:
**Uncorrected energy**: -13.48 eV per atom
**Symmetry**: Fm-3m, No. 225
**Excess energy over the best structure of this formula in the dataset**: 0.000 eV per formula unit

---

> What is the uncorrected energy in the eighth record?

-13.48 eV per atom

---

What did the fifth record say?
The following is a meta-GGA SCAN calculation of a crystal of SiHg4As relaxed with PBEsol, from the Alexandria database.

Cell lengths 5.7331, 5.7331, 5.7331 Å; angles 60.00, 60.00, 60.00 degrees
Positions (direct):
As 0.0000 0.0000 0.0000
Hg 0.3751 0.3751 0.3751
Hg 0.3751 0.3751 0.8746
Hg 0.8746 0.3751 0.3751
Hg 0.3751 0.8746 0.3751
Si 0.7500 0.7500 0.7500

Values from the calculation:
**Uncorrected energy**: -49.74 eV per atom
**Symmetry**: F-43m, No. 216

---

> uncorrected energy of number 8 (KRb2Na)?

-13.48 eV per atom